1.
First-principles (PBE) data for crystalline PrFeC at its relaxed geometry, as listed in Alexandria.

Lattice parameters (Å, degrees): 3.3766 3.3766 4.5238 90.00 90.00 120.00
Space group P-6m2 (No. 187)
Symmetry-distinct sites (fractional):
Pr1 0.0000 0.0000 0.0000 (multiplicity 1)
Fe1 0.3333 0.6667 0.5000 (multiplicity 1)
C1 0.6667 0.3333 0.5000 (multiplicity 1)

Results
- Size of the total moment: 0.338 μB/cell
- Energy of formation from the pure elements: 146 meV per atom
- Relative energy among the computed polymorphs: 0.889 eV/f.u.

2.
First-principles (PBE) data for crystalline SbAsRhF2 at its relaxed geometry, as listed in Alexandria.

Lattice parameters (Å, degrees): 4.1236 4.1236 5.4086 90.00 90.00 90.00
Space group P4/mmm (No. 123)
Symmetry-distinct sites (fractional):
Sb1 0.0000 0.0000 0.0000 (multiplicity 1)
As1 0.5000 0.5000 0.5000 (multiplicity 1)
Rh1 0.0000 0.0000 0.5000 (multiplicity 1)
F1 0.0000 0.5000 0.0000 (multiplicity 2)

Results
- Formation energy (no corrections): -0.78 eV/atom
- Size of the total moment: 0.743 μB/cell

3.
First-principles (PBE) data for crystalline Cd4CuRh at its relaxed geometry, as listed in Alexandria.

Lattice parameters (Å, degrees): 6.0042 9.8921 15.4343 90.00 90.00 90.00
Space group Fddd (No. 70, origin choice 2)
Symmetry-distinct sites (fractional):
Cd1 0.1237 0.3735 0.0310 (multiplicity 32)
Cu1 0.1250 0.1250 0.6250 (multiplicity 8)
Rh1 0.1250 0.1250 0.1250 (multiplicity 8)

Results
- Size of the total moment: 0.000 μB/cell
- Energy of formation from the pure elements: 59 meV per atom
- Relative energy among the computed polymorphs: 0.000 eV/f.u.

4.
First-principles (PBE) data for crystalline PuTc3 at its relaxed geometry, as listed in Alexandria.

Lattice parameters (Å, degrees): 4.5610 4.5610 12.7308 90.00 90.00 90.00
Space group I4/mmm (No. 139)
Symmetry-distinct sites (fractional):
Pu1 0.0000 0.0000 0.1248 (multiplicity 4)
Tc1 0.0000 0.0000 0.3732 (multiplicity 4)
Tc2 0.0000 0.5000 0.0000 (multiplicity 4)
Tc3 0.0000 0.5000 0.2500 (multiplicity 4)

Results
- Size of the total moment: 17.695 μB/cell
- Energy of formation from the pure elements: 183 meV per atom

| no. | calculated total energy (eV/atom) |
| --- | --- |
| 1 | -7.343 |
| 2 | -4.751 |
| 3 | -2.459 |
| 4 | -11.175 |